# 1
Entry from the Open Quantum Materials Database: a relaxed structure of BeNiAgBi (GGA-PBE).

Lattice parameters (Å, degrees): 6.4184 6.4184 6.4184 90.00 90.00 90.00
Atoms (fractional coordinates):
1 Be 0.0000 0.0000 0.0000
2 Be 0.0000 0.5000 0.5000
3 Be 0.5000 0.0000 0.5000
4 Be 0.5000 0.5000 0.0000
5 Ni 0.0000 0.0000 0.5000
6 Ni 0.0000 0.5000 0.0000
7 Ni 0.5000 0.0000 0.0000
8 Ni 0.5000 0.5000 0.5000
9 Ag 0.2500 0.2500 0.7500
10 Ag 0.2500 0.7500 0.2500
11 Ag 0.7500 0.2500 0.2500
12 Ag 0.7500 0.7500 0.7500
13 Bi 0.2500 0.2500 0.2500
14 Bi 0.2500 0.7500 0.7500
15 Bi 0.7500 0.2500 0.7500
16 Bi 0.7500 0.7500 0.2500

Values from the calculation:
- space group = F-43m (216)
- E_tot (eV/atom) = -3.625

---

# 2
Entry from the Open Quantum Materials Database: a relaxed structure of AcCd12 (GGA-PBE).

Lattice parameters (Å, degrees): 7.7183 7.7183 7.7183 98.68 98.68 134.28
Atoms (fractional coordinates):
1 Ac 0.0000 0.0000 0.0000
2 Cd 0.0000 0.0000 0.5000
3 Cd 0.0000 0.3540 0.3540
4 Cd 0.0000 0.5000 0.0000
5 Cd 0.0000 0.6460 0.6460
6 Cd 0.2839 0.5000 0.7839
7 Cd 0.3540 0.0000 0.3540
8 Cd 0.5000 0.0000 0.0000
9 Cd 0.5000 0.2839 0.7839
10 Cd 0.5000 0.5000 0.5000
11 Cd 0.5000 0.7161 0.2161
12 Cd 0.6460 0.0000 0.6460
13 Cd 0.7161 0.5000 0.2161

Values from the calculation:
- energy relative to the elements (eV/atom) = -0.1514
- space group = I4/mmm (139)
- E_tot (eV/atom) = -1.294

---

# 3
Entry from the Open Quantum Materials Database: a relaxed structure of CsPaOs (GGA-PBE).

Lattice parameters (Å, degrees): 6.9840 6.9840 6.9840 90.00 90.00 90.00
Atoms (fractional coordinates):
1 Cs 0.0000 0.0000 0.0000
2 Cs 0.0000 0.5000 0.5000
3 Cs 0.5000 0.0000 0.5000
4 Cs 0.5000 0.5000 0.0000
5 Pa 0.0000 0.0000 0.5000
6 Pa 0.0000 0.5000 0.0000
7 Pa 0.5000 0.0000 0.0000
8 Pa 0.5000 0.5000 0.5000
9 Os 0.2500 0.2500 0.2500
10 Os 0.2500 0.7500 0.7500
11 Os 0.7500 0.2500 0.7500
12 Os 0.7500 0.7500 0.2500

Values from the calculation:
- space group = F-43m (216)
- E_tot (eV/atom) = -5.839

---

Number 1: volume 66 Å³/f.u.. Number 2: volume 303 Å³/f.u.. Number 3: volume 85 Å³/f.u..